First-principles (PBE) data for BaZrI2 after structural relaxation, as listed in the Alexandria database.

Properties
As for the energy above the most stable polymorph in this dataset: 48 meV/atom. The formation energy (no corrections) is -1.2 eV/f.u. For the magnetic moment, the calculation gives 3.577 μB/f.u.

abc: 6.0307 6.0307 19.1376
angles: 90.00 90.00 90.00
Space group I-42d (No. 122)
Asymmetric unit:
Ba: 0.0000 0.0000 0.0000
Zr: 0.0000 0.0000 0.5000
I: 0.1894 0.2500 0.6250

---

First-principles (PBE) data for BaZrI3 after structural relaxation, as listed in the Alexandria database.

Properties
As for the energy above the most stable polymorph in this dataset: 606 meV/atom. The formation energy (no corrections) is -0.4 eV/f.u. For the magnetic moment, the calculation gives 3.000 μB/f.u.

abc: 6.6445 6.6445 6.6445
angles: 90.00 90.00 90.00
Space group Pm-3m (No. 221)
Asymmetric unit:
Ba: 0.0000 0.0000 0.0000
Zr: 0.5000 0.5000 0.5000
I: 0.0000 0.0000 0.5000